Density functional theory data (GGA-PBE) for an optimized crystal structure of Mn2CuIr2.

Summary:
ρ, g cm⁻³: 13.736
Formation energy from the elements, meV/atom: 156
DFT total energy, eV per atom: -7.88

Lattice parameters (Å, degrees): 7.131 7.131 2.652 90.00 90.00 90.00
Element x y z (fractional)
Mn (0.118, 0.382, 0.000)
Mn (0.382, 0.882, 0.000)
Mn (0.618, 0.118, 0.000)
Mn (0.882, 0.618, 0.000)
Cu (0.000, 0.000, 0.000)
Cu (0.500, 0.500, 0.000)
Ir (0.173, 0.673, 0.500)
Ir (0.327, 0.173, 0.500)
Ir (0.673, 0.827, 0.500)
Ir (0.827, 0.327, 0.500)